No. 1
PBE TaReP2, relaxed; E above lowest polymorph = 3.429 eV per formula unit; DFT total energy = -33.733 eV per cell; energy relative to the elements = 0.35 eV/atom
1.0
-1.313 -4.200 -0.162
2.559 -3.173 1.666
-1.193 -2.079 3.694
P Re Ta
2 1 1
Direct
0.000 0.000 0.000 P
0.250 0.250 0.250 P
0.500 0.500 0.500 Re
0.750 0.750 0.750 Ta


No. 2
PBE TaRe2P, relaxed; E above lowest polymorph = 0.850 eV per formula unit; DFT total energy = -42.117 eV per cell; energy relative to the elements = 0.01 eV/atom
1.0
4.344 0.000 0.000
0.000 4.344 0.000
0.000 0.000 3.153
Ta Re P
1 2 1
Direct
0.500 0.500 0.500 Ta
0.500 0.000 0.000 Re
0.000 0.500 0.000 Re
0.000 0.000 0.500 P


No. 3
PBE TaRe2P, relaxed; E above lowest polymorph = 0.768 eV per formula unit; DFT total energy = -42.199 eV per cell; energy relative to the elements = -0.01 eV/atom
1.0
-1.353 -0.607 4.682
-1.107 -3.358 3.409
3.828 -0.683 2.217
Ta Re P
1 2 1
Direct
0.505 0.505 0.461 Ta
0.998 0.998 0.968 Re
0.739 0.739 0.825 Re
0.257 0.257 0.246 P


No. 4
PBE TaReP2, relaxed; E above lowest polymorph = 0.815 eV per formula unit; DFT total energy = -36.346 eV per cell; energy relative to the elements = -0.31 eV/atom
1.0
-1.382 4.043 -0.388
-2.937 -1.278 -2.855
-1.984 -0.462 2.248
P Re Ta
2 1 1
Direct
0.000 0.000 0.000 P
0.500 0.500 0.000 P
0.500 0.000 0.500 Re
0.000 0.500 0.500 Ta


No. 5
PBE TaRe2P, relaxed; E above lowest polymorph = 1.651 eV per formula unit; DFT total energy = -41.316 eV per cell; energy relative to the elements = 0.21 eV/atom
1.0
-2.518 -2.510 -3.810
4.936 1.492 -0.755
1.380 -2.491 -0.103
Ta Re P
1 2 1
Direct
0.000 0.000 0.500 Ta
0.000 0.500 0.000 Re
0.500 0.000 0.000 Re
0.500 0.500 0.500 P


No. 6
PBE Ta3ReP, relaxed; E above lowest polymorph = 0.000 eV per formula unit; DFT total energy = -50.483 eV per cell; energy relative to the elements = 0.59 eV/atom
1.0
-3.907 1.910 1.238
-1.613 -4.059 1.169
1.605 0.569 4.189
Re P Ta
1 1 3
Direct
0.500 0.500 0.500 Re
0.000 0.000 0.000 P
0.000 0.500 0.000 Ta
0.000 0.000 0.500 Ta
0.500 0.000 0.000 Ta